Record 1
# YBePd3

YBePd3 at its PBEsol-relaxed geometry (SCAN, Alexandria).

The structure in POSCAR format:
```
YBePd3
1.0
4.8730 0.0000 0.0000
0.0000 4.8730 0.0000
0.0000 0.0000 4.8730
Y Be Pd
1 1 3
Direct
0.0000 0.0000 0.0000 Y
0.5000 0.5000 0.5000 Be
0.0000 0.0000 0.5000 Pd
0.0000 0.5000 0.0000 Pd
0.5000 0.0000 0.0000 Pd
```

Computed properties:
Offset from the most stable computed form   1.808 eV/atom
ΔH_f (0 K)   1.04 eV per atom
N(E_F)   1.55 states/eV per cell
Magnetic moment   0.00 μB/cell
Mass density   5.987 g/cm3

---

Record 2
# Be2ZnPd2

Be2ZnPd2 at its PBEsol-relaxed geometry (SCAN, Alexandria).

The structure in POSCAR format:
```
Be2ZnPd2
1.0
3.0539 0.0000 0.0000
0.0000 3.0539 0.0000
0.0000 0.0000 13.0011
Be Zn Pd
4 2 4
Direct
0.0000 0.5000 0.2500 Be
0.0000 0.5000 0.7500 Be
0.5000 0.0000 0.2500 Be
0.5000 0.0000 0.7500 Be
0.0000 0.0000 0.0000 Zn
0.5000 0.5000 0.5000 Zn
0.0000 0.0000 0.3867 Pd
0.0000 0.0000 0.6133 Pd
0.5000 0.5000 0.1133 Pd
0.5000 0.5000 0.8867 Pd
```

Computed properties:
Offset from the most stable computed form   0.210 eV/atom
ΔH_f (0 K)   -0.35 eV per atom
N(E_F)   4.02 states/eV per cell
Magnetic moment   0.00 μB/cell
Mass density   8.115 g/cm3

---

Record 3
# Be3ZnPd

Be3ZnPd at its PBEsol-relaxed geometry (SCAN, Alexandria).

The structure in POSCAR format:
```
Be3ZnPd
1.0
3.9889 0.0000 0.0000
0.0000 3.9889 0.0000
0.0000 0.0000 3.9889
Be Zn Pd
3 1 1
Direct
0.0000 0.0000 0.5000 Be
0.0000 0.5000 0.0000 Be
0.5000 0.0000 0.0000 Be
0.0000 0.0000 0.0000 Zn
0.5000 0.5000 0.5000 Pd
```

Computed properties:
ΔH_f (0 K)   0.64 eV per atom
N(E_F)   2.82 states/eV per cell
Magnetic moment   0.00 μB/cell
Mass density   5.203 g/cm3

---

Record 4
# Be2ZnPd2

Be2ZnPd2 at its PBEsol-relaxed geometry (SCAN, Alexandria).

The structure in POSCAR format:
```
Be2ZnPd2
1.0
6.4836 0.0000 0.0000
0.0000 6.4836 0.0000
0.0000 0.0000 2.7527
Be Zn Pd
4 2 4
Direct
0.1253 0.3747 0.0000 Be
0.3747 0.8747 0.0000 Be
0.6253 0.1253 0.0000 Be
0.8747 0.6253 0.0000 Be
0.0000 0.0000 0.0000 Zn
0.5000 0.5000 0.0000 Zn
0.1681 0.6681 0.5000 Pd
0.3319 0.1681 0.5000 Pd
0.6681 0.8319 0.5000 Pd
0.8319 0.3319 0.5000 Pd
```

Computed properties:
Offset from the most stable computed form   0.000 eV/atom
ΔH_f (0 K)   -0.56 eV per atom
N(E_F)   2.97 states/eV per cell
Magnetic moment   0.00 μB/cell
Mass density   8.503 g/cm3

---

Record 5
# BeZnPd2

BeZnPd2 at its PBEsol-relaxed geometry (SCAN, Alexandria).

The structure in POSCAR format:
```
BeZnPd2
1.0
6.3772 0.0000 0.0000
0.0000 6.3772 0.0000
0.0000 0.0000 5.2677
Be Zn Pd
4 4 8
Direct
0.0000 0.0000 0.0000 Be
0.0000 0.5000 0.2500 Be
0.5000 0.0000 0.7500 Be
0.5000 0.5000 0.5000 Be
0.0000 0.0000 0.5000 Zn
0.0000 0.5000 0.7500 Zn
0.5000 0.0000 0.2500 Zn
0.5000 0.5000 0.0000 Zn
0.2036 0.2500 0.1250 Pd
0.2500 0.7036 0.3750 Pd
0.2500 0.7964 0.8750 Pd
0.2964 0.2500 0.6250 Pd
0.7036 0.7500 0.6250 Pd
0.7500 0.2036 0.8750 Pd
0.7500 0.2964 0.3750 Pd
0.7964 0.7500 0.1250 Pd
```

Computed properties:
Offset from the most stable computed form   0.263 eV/atom
ΔH_f (0 K)   -0.29 eV per atom
N(E_F)   3.47 states/eV per cell
Magnetic moment   0.00 μB/cell
Mass density   8.906 g/cm3

---

Record 6
# BeZnPd2

BeZnPd2 at its PBEsol-relaxed geometry (SCAN, Alexandria).

The structure in POSCAR format:
```
BeZnPd2
1.0
5.8417 0.0000 0.0000
0.0000 5.8417 0.0000
0.0000 0.0000 5.8417
Be Zn Pd
4 4 8
Direct
0.0000 0.0000 0.0000 Be
0.0000 0.5000 0.5000 Be
0.5000 0.0000 0.5000 Be
0.5000 0.5000 0.0000 Be
0.0000 0.0000 0.5000 Zn
0.0000 0.5000 0.0000 Zn
0.5000 0.0000 0.0000 Zn
0.5000 0.5000 0.5000 Zn
0.2500 0.2500 0.2500 Pd
0.2500 0.2500 0.7500 Pd
0.2500 0.7500 0.2500 Pd
0.2500 0.7500 0.7500 Pd
0.7500 0.2500 0.2500 Pd
0.7500 0.2500 0.7500 Pd
0.7500 0.7500 0.2500 Pd
0.7500 0.7500 0.7500 Pd
```

Computed properties:
Offset from the most stable computed form   0.000 eV/atom
ΔH_f (0 K)   -0.56 eV per atom
N(E_F)   7.44 states/eV per cell
Magnetic moment   0.00 μB/cell
Mass density   9.571 g/cm3

---

Record 7
# Zr6Be15Pd8

Zr6Be15Pd8 at its PBEsol-relaxed geometry (SCAN, Alexandria).

The structure in POSCAR format:
```
Zr6Be15Pd8
1.0
0.0000 5.6700 5.6700
5.6700 0.0000 5.6700
5.6700 5.6700 0.0000
Zr Be Pd
6 15 8
Direct
0.1994 0.1994 0.8006 Zr
0.1994 0.8006 0.1994 Zr
0.1994 0.8006 0.8006 Zr
0.8006 0.1994 0.1994 Zr
0.8006 0.1994 0.8006 Zr
0.8006 0.8006 0.1994 Zr
0.0000 0.0000 0.5000 Be
0.0000 0.5000 0.0000 Be
0.0000 0.5000 0.5000 Be
0.1748 0.1748 0.1748 Be
0.1748 0.1748 0.4755 Be
0.1748 0.4755 0.1748 Be
0.4755 0.1748 0.1748 Be
0.5000 0.0000 0.0000 Be
0.5000 0.0000 0.5000 Be
0.5000 0.5000 0.0000 Be
0.5000 0.5000 0.5000 Be
0.5245 0.8252 0.8252 Be
0.8252 0.5245 0.8252 Be
0.8252 0.8252 0.5245 Be
0.8252 0.8252 0.8252 Be
0.1252 0.6249 0.6249 Pd
0.3751 0.3751 0.3751 Pd
0.3751 0.3751 0.8748 Pd
0.3751 0.8748 0.3751 Pd
0.6249 0.1252 0.6249 Pd
0.6249 0.6249 0.1252 Pd
0.6249 0.6249 0.6249 Pd
0.8748 0.3751 0.3751 Pd
```

Computed properties:
ΔH_f (0 K)   -0.57 eV per atom
N(E_F)   20.19 states/eV per cell
Magnetic moment   1.24 μB/cell
Mass density   6.987 g/cm3

---

Record 8
# Be5Pt

Be5Pt at its PBEsol-relaxed geometry (SCAN, Alexandria).

The structure in POSCAR format:
```
Be5Pt
1.0
0.0000 2.9708 2.9708
2.9708 0.0000 2.9708
2.9708 2.9708 0.0000
Be Pt
5 1
Direct
0.0000 0.0000 0.0000 Be
0.3746 0.3746 0.3746 Be
0.3746 0.3746 0.8762 Be
0.3746 0.8762 0.3746 Be
0.8762 0.3746 0.3746 Be
0.7500 0.7500 0.7500 Pt
```

Computed properties:
ΔH_f (0 K)   -0.60 eV per atom
N(E_F)   0.23 states/eV per cell
Magnetic moment   0.00 μB/cell
Mass density   7.605 g/cm3

---

N(E_F) of number 4 (Be2ZnPd2)? 2.97 states/eV per cell